First-principles (PBE) data for crystalline Li2TlIr2 at its relaxed geometry, as listed in Alexandria via LeMat-Bulk.

It has space group P4/mbm (No. 127), with a = 6.648 Å, b = 6.648 Å, c = 3.210 Å, α = 90.00°, β = 90.00° and γ = 90.00°. The asymmetric unit holds Li at (0.124, 0.376, 0.000), Tl at (0.000, 0.000, 0.000) and Ir at (0.168, 0.668, 0.500).

For the distance to the lowest polymorph of the same formula, the calculation gives 0.471 eV per formula unit. The value obtained for the calculated density is 14.11 g/cm3. The value obtained for the energy of formation from the pure elements is 251 meV per atom.